La10PrSm4 (PBE-GGA, optimized geometry); density of states at the Fermi level = 29.311 states/eV per cell; formation enthalpy at 0 K = 0.447 eV/atom
1.0
-1.967 6.709 0.367
-5.568 1.595 7.776
6.385 5.247 5.071
La Sm Pr
10 4 1
Direct
0.526 0.836 0.586 La
0.112 0.414 0.836 La
0.052 0.836 0.586 La
0.948 0.164 0.414 La
0.638 0.414 0.836 La
0.250 0.500 0.500 La
0.888 0.586 0.164 La
0.750 0.500 0.500 La
0.474 0.164 0.414 La
0.362 0.586 0.164 La
0.673 0.760 0.894 Sm
0.327 0.240 0.106 Sm
0.567 0.106 0.760 Sm
0.433 0.894 0.240 Sm
0.000 0.000 0.000 Pr

La3Pr4Ho (PBE-GGA, optimized geometry); density of states at the Fermi level = 12.492 states/eV per cell; formation enthalpy at 0 K = 0.185 eV/atom
1.0
3.522 0.000 -0.444
-0.089 6.293 -0.704
-0.134 0.324 13.116
La Pr Ho
3 4 1
Direct
0.144 0.744 0.289 La
0.856 0.256 0.711 La
0.000 0.500 0.000 La
0.279 0.759 0.557 Pr
0.105 0.232 0.211 Pr
0.895 0.768 0.789 Pr
0.721 0.241 0.443 Pr
0.500 0.000 0.000 Ho

Ba4CdSb3O12 (PBE-GGA, optimized geometry); density of states at the Fermi level = 2.758 states/eV per cell; formation energy without anion corrections = -2.03 eV/atom
1.0
-6.541 1.320 -3.068
-0.966 -3.118 6.579
3.650 6.322 0.800
Sb O Ba Cd
3 12 4 1
Direct
0.000 0.500 0.500 Sb
0.500 0.000 0.500 Sb
0.500 0.500 0.000 Sb
0.267 0.267 0.000 O
0.000 0.267 0.267 O
0.267 0.000 0.267 O
0.250 0.500 0.750 O
0.250 0.750 0.500 O
0.750 0.500 0.250 O
0.733 0.733 0.000 O
0.733 0.000 0.733 O
0.500 0.750 0.250 O
0.000 0.733 0.733 O
0.500 0.250 0.750 O
0.750 0.250 0.500 O
0.000 0.000 0.500 Ba
0.500 0.500 0.500 Ba
0.000 0.500 0.000 Ba
0.500 0.000 0.000 Ba
0.000 0.000 0.000 Cd

What is the density of states at the Fermi level in the third record?
2.758 states/eV per cell

Which value of density of states at the Fermi level does entry 2 give?
12.492 states/eV per cell

What did the first record say?
La10PrSm4 (PBE-GGA, optimized geometry); density of states at the Fermi level = 29.311 states/eV per cell; formation enthalpy at 0 K = 0.447 eV/atom
1.0
-1.967 6.709 0.367
-5.568 1.595 7.776
6.385 5.247 5.071
La Sm Pr
10 4 1
Direct
0.526 0.836 0.586 La
0.112 0.414 0.836 La
0.052 0.836 0.586 La
0.948 0.164 0.414 La
0.638 0.414 0.836 La
0.250 0.500 0.500 La
0.888 0.586 0.164 La
0.750 0.500 0.500 La
0.474 0.164 0.414 La
0.362 0.586 0.164 La
0.673 0.760 0.894 Sm
0.327 0.240 0.106 Sm
0.567 0.106 0.760 Sm
0.433 0.894 0.240 Sm
0.000 0.000 0.000 Pr

Which of these has the lowest density of states at the Fermi level?
Ba4CdSb3O12